No. 1
Density functional theory data (PBE-GGA) for a relaxed CrIrPt2 crystal.

Output
calculated density: 17.90 g/cm³
E_form: -0.29 eV per formula unit
D(E_F): 1.471 states/eV per atom

a b c (Å): 2.763 3.873 5.500
angles (deg): 90.00 90.00 90.00
Fractional coordinates of all 4 atoms:
Cr1 0.000 0.000 0.000
Ir1 0.000 0.000 0.500
Pt1 0.500 0.500 0.245
Pt2 0.500 0.500 0.755

=====

No. 2
Density functional theory data (PBE-GGA) for a relaxed Y6Ge2SbSe3 crystal.

Output
calculated density: 5.54 g/cm³
D(E_F): 0.179 states/eV per atom
formation energy from raw total energies: -1444 meV/atom

a b c (Å): 9.338 9.338 8.382
angles (deg): 102.63 102.63 25.87
Fractional coordinates of all 12 atoms:
Y1 0.006 0.006 0.260
Y2 0.330 0.330 0.424
Y3 0.330 0.330 0.901
Y4 0.670 0.670 0.099
Y5 0.670 0.670 0.576
Y6 0.994 0.994 0.740
Ge1 0.167 0.167 0.335
Ge2 0.833 0.833 0.665
Sb1 0.500 0.500 0.000
Se1 0.165 0.165 0.834
Se2 0.500 0.500 0.500
Se3 0.835 0.835 0.166

=====

No. 3
Density functional theory data (PBE-GGA) for a relaxed Pu2NpSb4 crystal.

Output
calculated density: 9.45 g/cm³
D(E_F): 4.646 states/eV per atom
formation energy from raw total energies: -241 meV/atom

a b c (Å): 4.292 4.292 11.565
angles (deg): 90.00 90.00 90.00
Fractional coordinates of all 7 atoms:
Pu1 0.000 0.500 0.211
Pu2 0.500 0.000 0.789
Np1 0.000 0.000 0.500
Sb1 0.000 0.000 0.000
Sb2 0.000 0.500 0.694
Sb3 0.500 0.000 0.306
Sb4 0.500 0.500 0.000

=====

No. 4
Density functional theory data (PBE-GGA) for a relaxed BeIn2S2 crystal.

Output
calculated density: 4.98 g/cm³
D(E_F): 0.143 states/eV per atom
formation energy from raw total energies: -18 meV/atom

a b c (Å): 6.314 6.314 5.065
angles (deg): 90.00 90.00 90.00
Fractional coordinates of all 10 atoms:
Be1 0.000 0.000 0.000
Be2 0.500 0.500 0.000
In1 0.172 0.328 0.500
In2 0.328 0.828 0.500
In3 0.672 0.172 0.500
In4 0.828 0.672 0.500
S1 0.197 0.697 0.000
S2 0.303 0.197 0.000
S3 0.697 0.803 0.000
S4 0.803 0.303 0.000

=====

No. 5
Density functional theory data (PBE-GGA) for a relaxed Ti5Bi crystal.

Output
calculated density: 6.71 g/cm³
E_form: -0.38 eV per formula unit
D(E_F): 1.275 states/eV per atom

a b c (Å): 4.110 13.317 4.056
angles (deg): 90.00 90.00 90.00
Fractional coordinates of all 12 atoms:
Ti1 0.000 0.000 0.000
Ti2 0.000 0.175 0.500
Ti3 0.000 0.325 0.000
Ti4 0.000 0.675 0.000
Ti5 0.000 0.825 0.500
Ti6 0.500 0.175 0.000
Ti7 0.500 0.325 0.500
Ti8 0.500 0.500 0.000
Ti9 0.500 0.675 0.500
Ti10 0.500 0.825 0.000
Bi1 0.000 0.500 0.500
Bi2 0.500 0.000 0.500

=====

No. 6
Density functional theory data (PBE-GGA) for a relaxed LaNdAg crystal.

Output
calculated density: 7.12 g/cm³
E_form: -0.44 eV per formula unit
D(E_F): 1.420 states/eV per atom

a b c (Å): 7.566 3.794 12.703
angles (deg): 90.00 90.00 90.00
Fractional coordinates of all 12 atoms:
La1 0.129 0.250 0.098
La2 0.371 0.750 0.598
La3 0.629 0.250 0.402
La4 0.871 0.750 0.902
Nd1 0.120 0.250 0.393
Nd2 0.380 0.750 0.893
Nd3 0.620 0.250 0.107
Nd4 0.880 0.750 0.607
Ag1 0.125 0.250 0.756
Ag2 0.375 0.750 0.256
Ag3 0.625 0.250 0.744
Ag4 0.875 0.750 0.244

=====

- The lowest calculated density belongs to which entry?
  BeIn2S2